# PrDy2Tm3Bi6

A geometry-optimized PrDy2Tm3Bi6 structure (GGA-PBE, Alexandria).

Cell and atoms, written as POSCAR:
```
PrDy2Tm3Bi6
1.0
4.485 0.000 0.000
0.000 8.959 0.328
-2.242 -2.572 9.421
Bi Dy Pr Tm
6 2 1 3
Direct
0.671 0.083 0.341
0.334 0.415 0.668
0.000 0.740 0.000
0.329 0.917 0.659
0.000 0.260 0.000
0.666 0.585 0.332
0.167 0.334 0.335
0.833 0.666 0.665
0.500 0.000 0.000
0.835 0.168 0.670
0.165 0.832 0.330
0.500 0.500 0.000
```

Results
Its volume is 31.86 Å³/atom. As for the space group: C2/m, No. 12. The electronic total energy is -5.056 eV/atom.

# Pr2Dy3YBi6

A geometry-optimized Pr2Dy3YBi6 structure (GGA-PBE, Alexandria).

Cell and atoms, written as POSCAR:
```
Pr2Dy3YBi6
1.0
4.537 0.000 0.000
0.000 9.061 0.330
-2.268 -2.603 9.529
Bi Pr Dy Y
6 2 3 1
Direct
0.666 0.075 0.332
0.997 0.249 0.994
0.003 0.751 0.006
0.334 0.925 0.668
0.664 0.589 0.329
0.336 0.411 0.671
0.166 0.332 0.332
0.834 0.668 0.668
0.832 0.166 0.664
0.500 0.500 0.000
0.168 0.834 0.336
0.500 0.000 0.000
```

Results
Its volume is 32.96 Å³/atom. As for the space group: C2/m, No. 12. The electronic total energy is -5.320 eV/atom.

# PrDy2Y3Bi6

A geometry-optimized PrDy2Y3Bi6 structure (GGA-PBE, Alexandria).

Cell and atoms, written as POSCAR:
```
PrDy2Y3Bi6
1.0
7.813 -0.002 0.000
-3.906 6.766 0.000
-1.303 -2.256 7.356
Y Bi Dy Pr
3 6 2 1
Direct
0.836 0.164 0.500
0.164 0.836 0.500
0.500 0.500 0.500
0.576 0.915 0.746
0.256 0.256 0.749
0.915 0.576 0.746
0.085 0.424 0.254
0.744 0.744 0.251
0.424 0.085 0.254
0.668 0.332 0.000
0.332 0.668 0.000
0.000 0.000 0.000
```

Results
Its volume is 32.40 Å³/atom. As for the space group: C2/m, No. 12. The electronic total energy is -5.613 eV/atom.

# Dy4BiPt

A geometry-optimized Dy4BiPt structure (GGA-PBE, Alexandria).

Cell and atoms, written as POSCAR:
```
Dy4BiPt
1.0
6.217 -0.298 0.000
-1.956 8.307 0.000
-2.131 -4.005 6.767
Bi Dy Pt
2 8 2
Direct
0.625 0.375 0.750
0.375 0.625 0.250
0.366 0.939 0.651
0.634 0.061 0.349
0.785 0.712 0.651
0.038 0.203 0.850
0.215 0.288 0.349
0.688 0.352 0.150
0.962 0.797 0.150
0.312 0.648 0.850
0.249 0.999 0.998
0.751 0.001 0.002
```

Results
Its volume is 28.80 Å³/atom. As for the space group: C2/c, No. 15. The energy above the most stable polymorph in this dataset comes out at 8.7 kJ/mol of atoms.

# Dy4BiPt

A geometry-optimized Dy4BiPt structure (GGA-PBE, Alexandria).

Cell and atoms, written as POSCAR:
```
Dy4BiPt
1.0
-3.037 -1.745 2.020
5.012 -6.366 2.037
5.398 9.463 16.293
Bi Dy Pt
4 16 4
Direct
0.250 0.752 0.314
0.250 0.252 0.186
0.750 0.748 0.814
0.750 0.248 0.686
0.250 0.049 0.786
0.250 0.131 0.349
0.750 0.869 0.651
0.750 0.451 0.286
0.250 0.475 0.433
0.750 0.855 0.449
0.250 0.975 0.067
0.750 0.355 0.051
0.250 0.631 0.151
0.750 0.951 0.214
0.750 0.369 0.849
0.750 0.025 0.933
0.250 0.145 0.551
0.750 0.525 0.567
0.250 0.645 0.949
0.250 0.549 0.714
0.750 0.220 0.447
0.250 0.780 0.553
0.750 0.720 0.053
0.250 0.280 0.947
```

Results
Its volume is 27.58 Å³/atom. As for the space group: Pnma, No. 62. The energy above the most stable polymorph in this dataset comes out at 0.0 kJ/mol of atoms.

# Dy12BiPt6

A geometry-optimized Dy12BiPt6 structure (GGA-PBE, Alexandria).

Cell and atoms, written as POSCAR:
```
Dy12BiPt6
1.0
8.199 0.000 -2.899
-4.100 7.101 -2.899
0.000 0.000 8.696
Pt Dy Bi
6 12 1
Direct
0.638 0.500 0.138
0.362 0.500 0.862
0.862 0.362 0.500
0.138 0.638 0.500
0.500 0.862 0.362
0.500 0.138 0.638
0.181 0.303 0.485
0.819 0.303 0.122
0.697 0.515 0.819
0.181 0.697 0.878
0.303 0.122 0.819
0.485 0.181 0.303
0.819 0.697 0.515
0.697 0.878 0.181
0.303 0.485 0.181
0.515 0.819 0.697
0.122 0.819 0.303
0.878 0.181 0.697
0.000 0.000 0.000
```

Results
Its volume is 26.65 Å³/atom. As for the space group: Im-3, No. 204. The electronic total energy is -5.907 eV/atom.

# Dy5BiPt2

A geometry-optimized Dy5BiPt2 structure (GGA-PBE, Alexandria).

Cell and atoms, written as POSCAR:
```
Dy5BiPt2
1.0
8.829 -0.055 0.000
1.945 8.612 0.000
-5.387 -4.279 5.534
Pt Dy Bi
4 10 2
Direct
0.639 0.861 0.500
0.139 0.639 0.778
0.861 0.361 0.222
0.361 0.139 0.500
0.792 0.292 0.812
0.520 0.020 0.812
0.000 0.000 0.000
0.980 0.792 0.500
0.480 0.980 0.188
0.020 0.208 0.500
0.708 0.520 0.500
0.500 0.500 0.000
0.292 0.480 0.500
0.208 0.708 0.188
0.250 0.250 0.000
0.750 0.750 0.000
```

Results
Its volume is 26.33 Å³/atom. As for the space group: I4/mcm, No. 140. The electronic total energy is -5.800 eV/atom.

# DyBiPt

A geometry-optimized DyBiPt structure (GGA-PBE, Alexandria).

Cell and atoms, written as POSCAR:
```
DyBiPt
1.0
4.765 0.000 0.000
2.383 4.127 0.000
2.383 1.376 3.891
Bi Dy Pt
1 1 1
Direct
0.000 0.000 0.000
0.500 0.500 0.500
0.250 0.250 0.250
```

Results
Its volume is 25.51 Å³/atom. As for the space group: F-43m, No. 216. The electronic total energy is -5.886 eV/atom.